Entry 1:
This record from Alexandria via LeMat-Bulk describes a relaxed structure of Re5Tc. The functional is GGA-PBE.

Lattice parameters (Å, degrees): 7.211 7.211 7.211 90.00 90.00 90.00
Space group F-43m (No. 216)
Unique sites:
Re 0.000 0.000 0.000
Re 0.125 0.125 0.375
Tc 0.250 0.250 0.750

Results
As for the density of states at the Fermi level: 0.313 states/eV per atom. The total DFT energy (no corrections) is -11.7978 eV per atom. The value obtained for the formation energy is 1.82 eV per formula unit. The spin magnetization is 0.00 μB per formula unit.



Entry 2:
This record from Alexandria via LeMat-Bulk describes a relaxed structure of ReTc2. The functional is GGA-PBE.

Lattice parameters (Å, degrees): 10.079 2.772 6.522 90.00 104.62 90.00
Space group C2/m (No. 12)
Unique sites:
Re 0.028 0.000 0.305
Tc 0.141 0.500 0.029
Tc 0.194 0.500 0.637

Results
As for the density of states at the Fermi level: 0.988 states/eV per atom. The total DFT energy (no corrections) is -11.0545 eV per atom. The value obtained for the formation energy is 0.02 eV per formula unit. The spin magnetization is 0.00 μB per formula unit.



Entry 3:
This record from Alexandria via LeMat-Bulk describes a relaxed structure of Re5Tc3. The functional is GGA-PBE.

Lattice parameters (Å, degrees): 7.6148 7.6148 4.9248 90.00 90.00 120.00
Space group P6_3/mcm (No. 193)
Unique sites:
Re 0.0000 0.2038 0.2500
Re 0.3333 0.6667 0.0000
Tc 0.0000 0.4191 0.7500

Results
As for the density of states at the Fermi level: 0.925 states/eV per atom. The total DFT energy (no corrections) is -11.3378 eV per atom. The value obtained for the formation energy is 2.64 eV per formula unit. The spin magnetization is 0.00 μB per formula unit.



Energy above the lowest structure with this stoichiometry
In order: 307.6 6.0 322.6
Unit: meV per atom